(1)
DFT (PBE) results for a geometry-optimized Cd2CuAu7 structure.

The space group is Fm-3m.

a = 7.0477 Å, b = 7.0477 Å, c = 7.0477 Å
α = 60.00°, β = 60.00°, γ = 60.00°
Last column: nearest neighbours and their distance in Å.
Element x y z (fractional)
Cu (0.0000, 0.0000, 0.0000)  6 Au 2.39
Au (0.7602, 0.2398, 0.2398)  1 Cu 2.39, 1 Au 2.59
Au (0.2398, 0.2398, 0.7602)  1 Cu 2.39, 1 Au 2.59
Au (0.7602, 0.2398, 0.7602)  1 Cu 2.39, 1 Au 2.59
Au (0.2398, 0.7602, 0.2398)  1 Cu 2.39, 1 Au 2.59
Au (0.5000, 0.5000, 0.5000)  6 Au 2.59
Au (0.2398, 0.7602, 0.7602)  1 Cu 2.39, 1 Au 2.59
Au (0.7602, 0.7602, 0.2398)  1 Cu 2.39, 1 Au 2.59
Cd (0.2500, 0.2500, 0.2500)  12 Au 3.53
Cd (0.7500, 0.7500, 0.7500)  12 Au 3.53

---

(2)
DFT (PBE) results for a geometry-optimized Cd2CuAu structure.

The space group is Pm.

a = 4.4865 Å, b = 3.0201 Å, c = 5.5834 Å
α = 75.79°, β = 90.00°, γ = 90.00°
Last column: nearest neighbours and their distance in Å.
Element x y z (fractional)
Cu (0.0000, 0.6929, 0.4823)  2 Au 2.69, 6 Cd 2.81-3.00
Cd (0.0000, 0.9644, 0.9635)  3 Cu 2.81-3.03, 4 Au 2.92-2.93, 2 Cd 3.02
Cd (0.5000, 0.2806, 0.2961)  4 Cu 2.88-2.89, 3 Au 2.91-2.94, 4 Cd 3.02-3.20
Au (0.5000, 0.5621, 0.7582)  2 Cu 2.69, 7 Cd 2.91-2.94

---

(3)
DFT (PBE) results for a geometry-optimized Cd2CuAu structure.

The space group is I-42d.

a = 4.0435 Å, b = 4.0435 Å, c = 10.2075 Å
α = 78.58°, β = 78.58°, γ = 90.00°
Last column: nearest neighbours and their distance in Å.
Element x y z (fractional)
Au (0.7500, 0.2500, 0.5000)  4 Cd 2.84, 4 Cu 2.86
Au (0.0000, 0.0000, 0.0000)  4 Cd 2.84, 4 Cu 2.86
Cd (0.1303, 0.6250, 0.2500)  2 Cu 2.83, 4 Cd 2.83-2.89, 2 Au 2.84
Cd (0.6197, 0.1250, 0.2500)  2 Cu 2.83, 4 Cd 2.83-2.89, 2 Au 2.84
Cd (0.3750, 0.3803, 0.7500)  2 Cu 2.83, 4 Cd 2.83-2.89, 2 Au 2.84
Cd (0.8750, 0.8697, 0.7500)  2 Cu 2.83, 4 Cd 2.83-2.89, 2 Au 2.84
Cu (0.2500, 0.7500, 0.5000)  4 Cd 2.83, 4 Au 2.86
Cu (0.5000, 0.5000, 0.0000)  4 Cd 2.83, 4 Au 2.86

---

(4)
DFT (PBE) results for a geometry-optimized CdCuAu2 structure.

The space group is Immm.

a = 4.9760 Å, b = 4.9760 Å, c = 4.9760 Å
α = 132.33°, β = 129.01°, γ = 72.37°
Last column: nearest neighbours and their distance in Å.
Element x y z (fractional)
Au (0.5085, 0.5085, 0.0000)  4 Cu 2.79-2.98, 4 Cd 2.89, 4 Au 2.94
Au (0.9915, 0.9915, 0.0000)  4 Cu 2.79-2.98, 4 Cd 2.89, 4 Au 2.94
Cu (0.7500, 0.2500, 0.5000)  8 Au 2.79-2.98, 4 Cd 2.94
Cd (0.2500, 0.7500, 0.5000)  8 Au 2.89, 4 Cu 2.94

---

(5)
DFT (PBE) results for a geometry-optimized CdCuAu2 structure.

The space group is Imm2.

a = 5.0707 Å, b = 5.0707 Å, c = 5.0707 Å
α = 132.54°, β = 132.67°, γ = 69.28°
Last column: nearest neighbours and their distance in Å.
Element x y z (fractional)
Au (0.0003, 0.0003, 0.0000)  4 Cd 2.88, 4 Cu 2.91-2.92, 4 Au 2.92
Au (0.2501, 0.7501, 0.5000)  4 Cu 2.88, 4 Au 2.92, 4 Cd 2.92
Cd (0.4998, 0.4998, 0.0000)  8 Au 2.88-2.92, 4 Cu 2.91-2.92
Cu (0.7498, 0.2498, 0.5000)  8 Au 2.88-2.92, 4 Cd 2.91-2.92

---

(6)
DFT (PBE) results for a geometry-optimized CdCuAu3 structure.

The space group is Pmma.

a = 3.3811 Å, b = 6.7834 Å, c = 7.8668 Å
α = 90.00°, β = 90.00°, γ = 90.00°
Last column: nearest neighbours and their distance in Å.
Element x y z (fractional)
Cu (0.5901, 0.6122, 0.1376)  8 Au 2.63-2.70
Cu (0.5901, 0.6122, 0.6377)  8 Au 2.63-2.70
Au (0.0904, 0.6766, 0.8877)  4 Cu 2.63, 4 Au 2.89-2.94, 2 Cd 2.94
Au (0.0904, 0.5482, 0.3877)  4 Cu 2.63, 4 Au 2.89-2.94, 2 Cd 2.94
Au (0.0908, 0.3098, 0.0759)  2 Cu 2.70, 4 Au 2.85-2.96, 2 Cd 2.94
Au (0.0908, 0.9148, 0.1994)  2 Cu 2.70, 4 Au 2.85-2.96, 2 Cd 2.94
Au (0.0908, 0.3099, 0.6994)  2 Cu 2.70, 4 Au 2.85-2.96, 2 Cd 2.94
Au (0.0909, 0.9148, 0.5759)  2 Cu 2.70, 4 Au 2.85-2.96, 2 Cd 2.94
Cd (0.5909, 0.0305, 0.8877)  10 Au 2.94-3.08
Cd (0.5909, 0.1942, 0.3877)  10 Au 2.94-3.08

---

(7)
DFT (PBE) results for a geometry-optimized Cd2CuAu structure.

The space group is F-43m.

a = 4.6766 Å, b = 4.6766 Å, c = 4.6766 Å
α = 60.00°, β = 60.00°, γ = 60.00°
Last column: nearest neighbours and their distance in Å.
Element x y z (fractional)
Cu (0.2500, 0.2500, 0.2500)  4 Cd 2.86, 4 Au 2.86
Cd (0.7500, 0.7500, 0.7500)  4 Cd 2.86, 4 Au 2.86
Cd (0.0000, 0.0000, 0.0000)  4 Cd 2.86, 4 Cu 2.86
Au (0.5000, 0.5000, 0.5000)  4 Cu 2.86, 4 Cd 2.86

---

(8)
DFT (PBE) results for a geometry-optimized Cd2CuAu structure.

The space group is P4/mmm.

a = 4.0749 Å, b = 4.2058 Å, c = 4.2058 Å
α = 90.00°, β = 90.00°, γ = 90.00°
Last column: nearest neighbours and their distance in Å.
Element x y z (fractional)
Cd (0.0000, 0.5000, 0.0000)  4 Cu 2.93, 4 Au 2.93, 4 Cd 2.97
Cd (0.0000, 0.0000, 0.5000)  4 Au 2.93, 4 Cu 2.93, 4 Cd 2.97
Cu (0.5000, 0.0000, 0.0000)  8 Cd 2.93, 4 Au 2.97
Au (0.5000, 0.5000, 0.5000)  8 Cd 2.93, 4 Cu 2.97

---

Uncorrected energy across the listed records, respectively: -24.0; -9.4; -17.2; -11.9; -11.9; -30.6; -9.2; -9.4 eV per cell.